# PmY6Mg, optimized geometry, DFT PBE
# - Calculated formation energy: 0.1142 eV/atom
# - Total magnetization: 0.00 μB/f.u.
# - Energy relative to the lowest polymorph listed for this composition: 85 meV per atom
# - Fermi-level density of states: 1.49 states/eV per atom
# - Calculated volume: 32.0 A^3/atom
data_PmY6Mg
_chemical_formula_sum 'Pm3 Y18 Mg3'
_space_group_name_H-M_alt 'R -3'
_space_group_IT_number 148
_space_group_name_Hall '-R 3'
_cell_length_a 9.4015
_cell_length_b 9.4015
_cell_length_c 10.0347
_cell_angle_alpha 90.00
_cell_angle_beta 90.00
_cell_angle_gamma 120.00
loop_
_atom_site_label
_atom_site_fract_x
_atom_site_fract_y
_atom_site_fract_z
Pm1 0.0000 0.0000 0.0000
Y1 0.0217 0.2635 0.7199
Mg1 0.0000 0.0000 0.5000

# Pm5YMg, optimized geometry, DFT PBE
# - Calculated formation energy: 0.0182 eV/atom
# - Total magnetization: 0.00 μB/f.u.
# - Fermi-level density of states: 1.32 states/eV per atom
# - Calculated volume: 32.9 A^3/atom
data_Pm5YMg
_chemical_formula_sum 'Pm20 Y4 Mg4'
_space_group_name_H-M_alt 'C 1 2/m 1'
_space_group_IT_number 12
_cell_length_a 12.268
_cell_length_b 5.632
_cell_length_c 13.389
_cell_angle_alpha 90.00
_cell_angle_beta 95.76
_cell_angle_gamma 90.00
loop_
_space_group_symop_operation_xyz
'x,y,z'
'-x,-y,-z'
'-x,y,-z'
'x,-y,z'
'x+1/2,y+1/2,z'
'-x+1/2,-y+1/2,-z'
'-x+1/2,y+1/2,-z'
'x+1/2,-y+1/2,z'
loop_
_atom_site_label
_atom_site_fract_x
_atom_site_fract_y
_atom_site_fract_z
Pm1 0.064 0.000 0.135
Pm2 0.065 0.000 0.633
Pm3 0.137 0.500 0.805
Pm4 0.242 0.000 0.425
Pm5 0.243 0.000 0.925
Y1 0.134 0.500 0.305
Mg1 0.000 0.500 0.000
Mg2 0.000 0.500 0.500